This record from the Alexandria database describes crystalline La2TlRe at its relaxed geometry. The functional is PBE.

a = 5.0423 Å, b = 3.8414 Å, c = 5.4986 Å
α = 89.65°, β = 90.00°, γ = 90.00°
Closest atoms and distances in Å follow each position.
Sites, in units of the cell vectors:
Re  0.0000  0.6268  0.4636  6 La 3.04-3.24, 2 Tl 3.14
La  0.0000  0.1211  0.8938  2 Re 3.04-3.05, 4 Tl 3.20-3.21
La  0.5000  0.1286  0.3385  4 Tl 3.20-3.53, 4 Re 3.24, 2 La 3.51
Tl  0.5000  0.6235  0.8040  2 Re 3.14, 7 La 3.20-3.49

Summary:
- Excess energy over the best structure of this formula in the dataset: 162.1 meV per atom
- Volume: 26.63 Å³ per atom
- Formation energy: 207.5 meV per atom
- SG: Pm
- Total magnetic moment: 0.00 μB per cell

---

This record from the Alexandria database describes crystalline LaTl2Re at its relaxed geometry. The functional is PBE.

a = 5.1956 Å, b = 5.1956 Å, c = 5.1956 Å
α = 60.00°, β = 60.00°, γ = 60.00°
Closest atoms and distances in Å follow each position.
Sites, in units of the cell vectors:
La  0.5000  0.5000  0.5000  4 Re 3.18, 4 Tl 3.18
Tl  0.2500  0.2500  0.2500  4 Tl 3.18, 4 La 3.18
Tl  0.0000  0.0000  0.0000  4 Re 3.18, 4 Tl 3.18
Re  0.7500  0.7500  0.7500  4 Tl 3.18, 4 La 3.18

Summary:
- Excess energy over the best structure of this formula in the dataset: 269.2 meV per atom
- Volume: 24.79 Å³ per atom
- Formation energy: 679.1 meV per atom
- SG: F-43m
- Total magnetic moment: 1.38 μB per cell

---

This record from the Alexandria database describes crystalline LaTlRe3 at its relaxed geometry. The functional is PBE.

a = 4.9077 Å, b = 4.9077 Å, c = 4.9077 Å
α = 90.00°, β = 90.00°, γ = 90.00°
Closest atoms and distances in Å follow each position.
Sites, in units of the cell vectors:
Re  0.0000  0.5000  0.0000  2 La 2.45
Re  0.5000  0.0000  0.0000  2 La 2.45
Re  0.0000  0.0000  0.5000  2 La 2.45
Tl  0.5000  0.5000  0.5000  12 Re 3.47
La  0.0000  0.0000  0.0000  6 Re 2.45

Summary:
- Excess energy over the best structure of this formula in the dataset: 505.3 meV per atom
- Volume: 23.64 Å³ per atom
- Formation energy: 2966.1 meV per atom
- SG: Pm-3m
- Total magnetic moment: 0.00 μB per cell

---

This record from the Alexandria database describes crystalline LaTl4Re at its relaxed geometry. The functional is PBE.

a = 6.0939 Å, b = 6.0939 Å, c = 6.0939 Å
α = 60.00°, β = 60.00°, γ = 60.00°
Closest atoms and distances in Å follow each position.
Sites, in units of the cell vectors:
Tl  0.8777  0.3741  0.3741  6 Tl 3.02-3.07
Tl  0.3741  0.3741  0.8777  6 Tl 3.02-3.07
Tl  0.3741  0.8777  0.3741  6 Tl 3.02-3.07
Tl  0.3741  0.3741  0.3741  6 Tl 3.02-3.07
La  0.7500  0.7500  0.7500  12 Tl 3.58, 4 Re 3.73
Re  0.0000  0.0000  0.0000  12 Tl 3.57, 4 La 3.73

Summary:
- Volume: 26.67 Å³ per atom
- Formation energy: 735.6 meV per atom
- SG: F-43m
- Total magnetic moment: 1.09 μB per cell

---

This record from the Alexandria database describes crystalline LaTl2Re at its relaxed geometry. The functional is PBE.

a = 10.4079 Å, b = 10.4079 Å, c = 10.4079 Å
α = 18.10°, β = 18.10°, γ = 18.10°
Closest atoms and distances in Å follow each position.
Sites, in units of the cell vectors:
Re  0.7500  0.7500  0.7500  6 Tl 2.92
Tl  0.0108  0.0108  0.0108  3 Re 2.92
Tl  0.4892  0.4892  0.4892  3 Re 2.92
La  0.2500  0.2500  0.2500  6 La 3.28, 6 Tl 3.45

Summary:
- Excess energy over the best structure of this formula in the dataset: 205.8 meV per atom
- Volume: 23.77 Å³ per atom
- Formation energy: 615.7 meV per atom
- SG: R-3m
- Total magnetic moment: 0.00 μB per cell

---

This record from the Alexandria database describes crystalline LaTl2Re at its relaxed geometry. The functional is PBE.

a = 5.1341 Å, b = 5.1341 Å, c = 5.1341 Å
α = 60.00°, β = 60.00°, γ = 60.00°
Closest atoms and distances in Å follow each position.
Sites, in units of the cell vectors:
La  0.0000  0.0000  0.0000  8 Tl 3.14
Tl  0.2500  0.2500  0.2500  4 La 3.14, 4 Re 3.14
Tl  0.7500  0.7500  0.7500  4 La 3.14, 4 Re 3.14
Re  0.5000  0.5000  0.5000  8 Tl 3.14

Summary:
- Excess energy over the best structure of this formula in the dataset: 97.6 meV per atom
- Volume: 23.92 Å³ per atom
- Formation energy: 507.5 meV per atom
- SG: Fm-3m
- Total magnetic moment: 1.29 μB per cell

---

This record from the Alexandria database describes crystalline La2TlRe at its relaxed geometry. The functional is PBE.

a = 3.7168 Å, b = 3.7168 Å, c = 7.1642 Å
α = 90.00°, β = 90.00°, γ = 90.00°
Closest atoms and distances in Å follow each position.
Sites, in units of the cell vectors:
La  0.5000  0.5000  0.2797  4 Re 3.11, 1 Tl 3.13, 4 La 3.34
La  0.0000  0.0000  0.9925  4 Tl 3.29, 4 La 3.34, 1 Re 3.45
Tl  0.5000  0.5000  0.7161  4 Re 3.01, 5 La 3.13-3.29
Re  0.0000  0.0000  0.5117  4 Tl 3.01, 4 La 3.11

Summary:
- Excess energy over the best structure of this formula in the dataset: 340.8 meV per atom
- Volume: 24.74 Å³ per atom
- Formation energy: 386.1 meV per atom
- SG: P4mm
- Total magnetic moment: 0.00 μB per cell

---

This record from the Alexandria database describes crystalline LaTl2Re at its relaxed geometry. The functional is PBE.

a = 3.1560 Å, b = 3.1560 Å, c = 10.5556 Å
α = 90.00°, β = 90.00°, γ = 115.22°
Closest atoms and distances in Å follow each position.
Sites, in units of the cell vectors:
Tl  0.0000  0.0000  0.5301  2 Re 2.87, 4 Tl 3.16
Tl  0.0000  0.0000  0.9699  2 Re 2.87, 4 Tl 3.16
La  0.5000  0.5000  0.2500  6 La 3.16-3.38, 4 Tl 3.41
Re  0.5000  0.5000  0.7500  4 Tl 2.87, 4 Re 3.16

Summary:
- Excess energy over the best structure of this formula in the dataset: 254.5 meV per atom
- Volume: 23.78 Å³ per atom
- Formation energy: 664.4 meV per atom
- SG: Cmmm
- Total magnetic moment: 0.51 μB per cell

---

Q: Which value of formation energy does entry 8 give?
A: 664.4 meV per atom

---

Q: What is the formation energy in the third record?
A: 2966.1 meV per atom